VASP calculation (GGA-PBE) on a relaxed HfTi3As crystal.

Unit cell a=4.8254 b=4.8254 c=4.8254 alpha=90.00 beta=90.00 gamma=90.00
Space group Pm-3m (No. 221)
Inequivalent atoms, fractional coordinates:
Hf1 0.0000 0.0000 0.0000 (multiplicity 1)
Ti1 0.0000 0.0000 0.5000 (multiplicity 3)
As1 0.5000 0.5000 0.5000 (multiplicity 1)

Computed properties:
* total magnetic moment: 2.16 Bohr magnetons per cell
* offset from the most stable computed form: 1645 meV/atom

=====

VASP calculation (GGA-PBE) on a relaxed Hf5TiAs5 crystal.

Unit cell a=11.8253 b=5.2882 c=7.4213 alpha=90.00 beta=109.21 gamma=90.00
Space group C2/m (No. 12)
Inequivalent atoms, fractional coordinates:
Hf1 0.0000 0.0000 0.0000 (multiplicity 2)
Hf2 0.1246 0.5000 0.2512 (multiplicity 4)
Hf3 0.1753 0.5000 0.8371 (multiplicity 4)
Ti1 0.0000 0.0000 0.5000 (multiplicity 2)
As1 0.0000 0.5000 0.5000 (multiplicity 2)
As2 0.1653 0.0000 0.8197 (multiplicity 4)
As3 0.1743 0.0000 0.3596 (multiplicity 4)

Computed properties:
* total magnetic moment: 0.00 Bohr magnetons per cell

=====

VASP calculation (GGA-PBE) on a relaxed HfTiAs2 crystal.

Unit cell a=3.6955 b=3.6955 c=19.1137 alpha=90.00 beta=90.00 gamma=120.00
Space group R3m (No. 160, hexagonal axes)
Inequivalent atoms, fractional coordinates:
Hf1 0.0000 0.0000 0.0000 (multiplicity 3)
Ti1 0.0000 0.0000 0.1762 (multiplicity 3)
As1 0.0000 0.0000 0.4237 (multiplicity 3)
As2 0.0000 0.0000 0.5840 (multiplicity 3)

Computed properties:
* total magnetic moment: 0.00 Bohr magnetons per cell
* offset from the most stable computed form: 29 meV/atom

=====

VASP calculation (GGA-PBE) on a relaxed HfTiAs2 crystal.

Unit cell a=5.8767 b=5.8767 c=11.8203 alpha=90.00 beta=90.00 gamma=90.00
Space group I-42d (No. 122)
Inequivalent atoms, fractional coordinates:
Hf1 0.0000 0.0000 0.0000 (multiplicity 4)
Ti1 0.0000 0.0000 0.5000 (multiplicity 4)
As1 0.2356 0.2500 0.6250 (multiplicity 8)

Computed properties:
* total magnetic moment: 0.00 Bohr magnetons per cell
* offset from the most stable computed form: 633 meV/atom

=====

VASP calculation (GGA-PBE) on a relaxed Hf3TiAs2 crystal.

Unit cell a=6.1176 b=12.2654 c=6.6340 alpha=90.00 beta=90.00 gamma=90.00
Space group Ibam (No. 72)
Inequivalent atoms, fractional coordinates:
Hf1 0.0000 0.0000 0.2500 (multiplicity 4)
Hf2 0.0000 0.2993 0.2500 (multiplicity 8)
Ti1 0.0000 0.5000 0.0000 (multiplicity 4)
As1 0.1744 0.1477 0.0000 (multiplicity 8)

Computed properties:
* total magnetic moment: 0.00 Bohr magnetons per cell

=====

VASP calculation (GGA-PBE) on a relaxed HfTiAs crystal.

Unit cell a=11.8020 b=3.7776 c=5.1396 alpha=90.00 beta=100.44 gamma=90.00
Space group C2/m (No. 12)
Inequivalent atoms, fractional coordinates:
Hf1 0.1109 0.0000 0.2536 (multiplicity 4)
Ti1 0.0810 0.5000 0.7623 (multiplicity 4)
As1 0.2274 0.0000 0.7738 (multiplicity 4)

Computed properties:
* total magnetic moment: 0.00 Bohr magnetons per cell

=====

VASP calculation (GGA-PBE) on a relaxed Hf3Ti4As4 crystal.

Unit cell a=3.5395 b=7.6976 c=14.2782 alpha=90.00 beta=90.00 gamma=90.00
Space group Immm (No. 71)
Inequivalent atoms, fractional coordinates:
Hf1 0.0000 0.0000 0.0000 (multiplicity 2)
Hf2 0.0000 0.5000 0.1093 (multiplicity 4)
Ti1 0.0000 0.3099 0.3293 (multiplicity 8)
As1 0.0000 0.0000 0.2458 (multiplicity 4)
As2 0.0000 0.2044 0.5000 (multiplicity 4)

Computed properties:
* total magnetic moment: 0.00 Bohr magnetons per cell

=====

VASP calculation (GGA-PBE) on a relaxed HfTiAs crystal.

Unit cell a=3.5971 b=3.8164 c=8.1111 alpha=90.00 beta=90.00 gamma=90.00
Space group Pmm2 (No. 25)
Inequivalent atoms, fractional coordinates:
Hf1 0.0000 0.0000 0.0000 (multiplicity 1)
Hf2 0.5000 0.0000 0.3482 (multiplicity 1)
Ti1 0.0000 0.5000 0.5987 (multiplicity 1)
Ti2 0.5000 0.0000 0.6887 (multiplicity 1)
As1 0.0000 0.5000 0.2567 (multiplicity 1)
As2 0.5000 0.5000 0.8922 (multiplicity 1)

Computed properties:
* total magnetic moment: 0.00 Bohr magnetons per cell

=====

VASP calculation (GGA-PBE) on a relaxed HfTiAs crystal.

Unit cell a=3.5864 b=3.8514 c=16.2247 alpha=90.00 beta=90.00 gamma=90.00
Space group Imm2 (No. 44)
Inequivalent atoms, fractional coordinates:
Hf1 0.0000 0.0000 0.0000 (multiplicity 2)
Hf2 0.0000 0.5000 0.1774 (multiplicity 2)
Ti1 0.0000 0.0000 0.3767 (multiplicity 2)
Ti2 0.0000 0.0000 0.8313 (multiplicity 2)
As1 0.0000 0.0000 0.5482 (multiplicity 2)
As2 0.0000 0.5000 0.7302 (multiplicity 2)

Computed properties:
* total magnetic moment: 0.00 Bohr magnetons per cell

=====

VASP calculation (GGA-PBE) on a relaxed HfTi3As2 crystal.

Unit cell a=15.7032 b=3.5417 c=8.2138 alpha=90.00 beta=116.01 gamma=90.00
Space group C2/m (No. 12)
Inequivalent atoms, fractional coordinates:
Hf1 0.1133 0.0000 0.1206 (multiplicity 4)
Ti1 0.0508 0.0000 0.6554 (multiplicity 4)
Ti2 0.1572 0.5000 0.4742 (multiplicity 4)
Ti3 0.1838 0.5000 0.8960 (multiplicity 4)
As1 0.0071 0.5000 0.8290 (multiplicity 4)
As2 0.2394 0.0000 0.7284 (multiplicity 4)

Computed properties:
* total magnetic moment: 0.00 Bohr magnetons per cell

=====

VASP calculation (GGA-PBE) on a relaxed HfTiAs2 crystal.

Unit cell a=3.7603 b=3.7603 c=18.3554 alpha=90.00 beta=90.00 gamma=120.00
Space group R-3m (No. 166, hexagonal axes)
Inequivalent atoms, fractional coordinates:
Hf1 0.0000 0.0000 0.0000 (multiplicity 3)
Ti1 0.0000 0.0000 0.5000 (multiplicity 3)
As1 0.0000 0.0000 0.2459 (multiplicity 6)

Computed properties:
* total magnetic moment: 0.00 Bohr magnetons per cell
* offset from the most stable computed form: 68 meV/atom

=====

VASP calculation (GGA-PBE) on a relaxed HfTiAs crystal.

Unit cell a=5.2974 b=3.5145 c=6.5676 alpha=90.00 beta=107.69 gamma=90.00
Space group P2_1/m (No. 11)
Inequivalent atoms, fractional coordinates:
Hf1 0.2037 0.2500 0.4422 (multiplicity 2)
Ti1 0.1688 0.2500 0.8997 (multiplicity 2)
As1 0.3734 0.7500 0.1946 (multiplicity 2)

Computed properties:
* total magnetic moment: 0.00 Bohr magnetons per cell

=====

Values for formation energy, kcal/mol of atoms, ordered as above
27.13; -17.22; -21.11; -7.18; -10.55; -10.92; -19.14; -14.19; -14.07; -16.70; -20.19; -14.30